## i
Compound: CrHgI2O
Source: the Alexandria database
Functional: GGA+U
Structure: optimized geometry

magnetization = 4.8 μB per formula unit
D(E_F) = 8.43 states/eV/f.u.

a = 6.019 Å, b = 6.019 Å, c = 4.096 Å
α = 90.00°, β = 90.00°, γ = 90.00°
Space group P4/mmm (No. 123)
Symmetry-distinct sites (fractional):
Cr  0.000  0.000  0.000 [1 per cell]
Hg  0.500  0.500  0.500 [1 per cell]
I  0.000  0.500  0.500 [2 per cell]
O  0.500  0.500  0.000 [1 per cell]

## ii
Compound: CrHgI2O
Source: the Alexandria database
Functional: GGA+U
Structure: optimized geometry

magnetization = 2.8 μB per formula unit
D(E_F) = 3.37 states/eV/f.u.

a = 5.920 Å, b = 5.920 Å, c = 3.708 Å
α = 90.00°, β = 90.00°, γ = 90.00°
Space group P4/mmm (No. 123)
Symmetry-distinct sites (fractional):
Cr  0.000  0.000  0.000 [1 per cell]
Hg  0.500  0.500  0.500 [1 per cell]
I  0.000  0.500  0.000 [2 per cell]
O  0.000  0.000  0.500 [1 per cell]

Stability ranking, top and bottom: ii is the most stable and i is the least stable.

## i
Compound: CrHgIO2
Source: the Alexandria database
Functional: GGA+U
Structure: optimized geometry

magnetization = 2.3 μB per formula unit
D(E_F) = 2.75 states/eV/f.u.

a = 3.961 Å, b = 3.961 Å, c = 6.678 Å
α = 90.00°, β = 90.00°, γ = 90.00°
Space group P4/mmm (No. 123)
Symmetry-distinct sites (fractional):
Cr  0.000  0.000  0.000 [1 per cell]
Hg  0.500  0.500  0.500 [1 per cell]
I  0.000  0.000  0.500 [1 per cell]
O  0.000  0.500  0.000 [2 per cell]

## ii
Compound: CrHgIO2
Source: the Alexandria database
Functional: GGA+U
Structure: optimized geometry

magnetization = 2.3 μB per formula unit
D(E_F) = 2.75 states/eV/f.u.

a = 3.943 Å, b = 3.943 Å, c = 6.858 Å
α = 90.00°, β = 90.00°, γ = 90.00°
Space group P4/mmm (No. 123)
Symmetry-distinct sites (fractional):
Cr  0.000  0.000  0.000 [1 per cell]
Hg  0.000  0.000  0.500 [1 per cell]
I  0.500  0.500  0.500 [1 per cell]
O  0.000  0.500  0.000 [2 per cell]

Stability ranking, top and bottom: i is the most stable and ii is the least stable.